NdDyCu2S4 | PBE | relaxed

Lattice parameters (Å, degrees): 6.521 6.022 6.022 67.35 57.22 57.22
Fractional coordinates of all 8 atoms:
S 0.550 0.474 0.922
Dy 0.500 0.500 0.500
Cu 0.830 0.670 0.670
S 0.054 0.922 0.474
Cu 0.170 0.330 0.330
S 0.450 0.078 0.526
S 0.946 0.526 0.078
Nd 0.000 0.000 0.000

Properties
formation energy (no corrections)	-9.66	eV/f.u.
magnetic moment	0.0	μB/f.u.
mass density	5.63	g/cm3
space group	I222 (23)

---

Th4Pd2Au | PBE | relaxed

Lattice parameters (Å, degrees): 4.309 4.309 12.647 80.19 80.19 60.00
Fractional coordinates of all 7 atoms:
Th 0.884 0.884 0.349
Th 0.301 0.301 0.097
Au 0.500 0.500 0.500
Pd 0.406 0.406 0.783
Th 0.116 0.116 0.651
Pd 0.594 0.594 0.217
Th 0.699 0.699 0.903

Properties
magnetic moment	0.0	μB/f.u.
mass density	11.14	g/cm3
space group	R-3m (166)
ΔH_f (0 K)	-395	meV/atom

---

Mn2RuAu | PBE | relaxed

Lattice parameters (Å, degrees): 4.312 4.312 3.244 90.00 90.00 90.00
Fractional coordinates of all 4 atoms:
Mn 0.500 0.500 0.000
Ru 0.500 0.000 0.500
Mn 0.000 0.000 0.000
Au 0.000 0.500 0.500

Properties
magnetic moment	8.3	μB/f.u.
mass density	11.23	g/cm3
space group	P4/mmm (123)
ΔH_f (0 K)	125	meV/atom

---

FeTe2PdI | PBE | relaxed

Lattice parameters (Å, degrees): 4.847 4.847 5.640 90.00 90.00 90.00
Fractional coordinates of all 5 atoms:
Pd 0.500 0.500 0.500
Fe 0.000 0.000 0.000
Te 0.500 0.000 0.000
I 0.000 0.000 0.500
Te 0.000 0.500 0.000

Properties
formation energy (no corrections)	3.24	eV/f.u.
magnetic moment	0.0	μB/f.u.
mass density	6.82	g/cm3
space group	P4/mmm (123)

---

Be2MoP | PBE | relaxed

Lattice parameters (Å, degrees): 2.598 2.598 7.386 90.00 90.00 102.38
Fractional coordinates of all 4 atoms:
Be 0.000 0.000 0.997
P 0.500 0.500 0.750
Mo 0.500 0.500 0.250
Be 0.000 0.000 0.503

Properties
magnetic moment	0.0	μB/f.u.
mass density	4.94	g/cm3
space group	Cmmm (65)
ΔH_f (0 K)	289	meV/atom

---

La3Si4Pd7 | PBE | relaxed

Lattice parameters (Å, degrees): 4.149 8.309 8.435 71.10 75.77 75.54
Fractional coordinates of all 14 atoms:
La 0.325 0.177 0.173
Si 0.890 0.892 0.328
Si 0.110 0.108 0.672
La 0.675 0.823 0.827
Pd 0.305 0.853 0.536
Pd 0.000 0.000 0.000
Si 0.665 0.448 0.222
Si 0.335 0.552 0.778
Pd 0.493 0.243 0.771
Pd 0.171 0.580 0.078
Pd 0.829 0.420 0.922
Pd 0.695 0.147 0.464
Pd 0.507 0.757 0.229
La 0.000 0.500 0.500

Properties
formation energy (no corrections)	-12.12	eV/f.u.
magnetic moment	0.0	μB/f.u.
mass density	8.07	g/cm3
space group	C2/m (12)